No. 1
This record from Alexandria via LeMat-Bulk describes crystalline AcPm2Mg at its relaxed geometry. The functional is PBE.

a b c (Å): 3.8656 3.8656 9.0939
angles (deg): 90.00 90.00 90.00
Fractional coordinates of all 4 atoms:
Ac: 0.0000 0.0000 0.0000
Pm: 0.5000 0.5000 0.2876
Pm: 0.5000 0.5000 0.7124
Mg: 0.0000 0.0000 0.5000

DFT formation energy: -33 meV/atom
ΔE to the lowest computed polymorph: 0.000 eV per atom
Magnetization: 0.0000 μB per atom

=====

No. 2
This record from Alexandria via LeMat-Bulk describes crystalline CaPm2UP4 at its relaxed geometry. The functional is PBE.

a b c (Å): 7.0585 7.0585 7.0585
angles (deg): 131.84 131.84 70.49
Fractional coordinates of all 8 atoms:
Ca: 0.0000 0.0000 0.0000
Pm: 0.5000 0.5000 0.0000
Pm: 0.7500 0.2500 0.5000
U: 0.2500 0.7500 0.5000
P: 0.0142 0.5142 0.5000
P: 0.2519 0.2519 0.0000
P: 0.4858 0.9858 0.5000
P: 0.7481 0.7481 0.0000

DFT formation energy: -1282 meV/atom
Magnetization: 0.2322 μB per atom

=====

No. 3
This record from Alexandria via LeMat-Bulk describes crystalline YTeRu2 at its relaxed geometry. The functional is PBE.

a b c (Å): 6.4711 6.4711 6.4711
angles (deg): 37.20 37.20 37.20
Fractional coordinates of all 4 atoms:
Y: 0.0000 0.0000 0.0000
Te: 0.2095 0.2095 0.2095
Ru: 0.4612 0.4612 0.4612
Ru: 0.7604 0.7604 0.7604

Total DFT energy (no corrections): -7.201 eV per atom
Magnetization: 0.0000 μB per atom

=====

No. 4
This record from Alexandria via LeMat-Bulk describes crystalline Nd2PdO4 at its relaxed geometry. The functional is PBE.

a b c (Å): 7.0102 7.0102 7.0102
angles (deg): 60.00 60.00 60.00
Fractional coordinates of all 14 atoms:
Nd: 0.0000 0.0000 0.0000
Nd: 0.0000 0.0000 0.5000
Nd: 0.0000 0.5000 0.0000
Nd: 0.5000 0.0000 0.0000
Pd: 0.3750 0.3750 0.3750
Pd: 0.6250 0.6250 0.6250
O: 0.2219 0.7594 0.7594
O: 0.2406 0.2406 0.2406
O: 0.2406 0.2406 0.7781
O: 0.2406 0.7781 0.2406
O: 0.7594 0.2219 0.7594
O: 0.7594 0.7594 0.2219
O: 0.7594 0.7594 0.7594
O: 0.7781 0.2406 0.2406

ΔE to the lowest computed polymorph: 0.465 eV per atom
Magnetization: 0.2858 μB per atom

=====

No. 5
This record from Alexandria via LeMat-Bulk describes crystalline Mg4CdPb3 at its relaxed geometry. The functional is PBE.

a b c (Å): 3.7653 3.7653 14.1970
angles (deg): 90.00 90.00 90.00
Fractional coordinates of all 8 atoms:
Mg: 0.0000 0.0000 0.1125
Mg: 0.0000 0.0000 0.3705
Mg: 0.0000 0.0000 0.6295
Mg: 0.0000 0.0000 0.8875
Cd: 0.5000 0.5000 0.0000
Pb: 0.5000 0.5000 0.2430
Pb: 0.5000 0.5000 0.5000
Pb: 0.5000 0.5000 0.7570

DFT formation energy: -44 meV/atom
ΔE to the lowest computed polymorph: 0.000 eV per atom
Magnetization: 0.0000 μB per atom

=====

No. 6
This record from Alexandria via LeMat-Bulk describes crystalline Ag2Au2I7 at its relaxed geometry. The functional is PBE.

a b c (Å): 8.0870 8.0870 14.7334
angles (deg): 103.13 103.13 96.31
Fractional coordinates of all 22 atoms:
Ag: 0.0925 0.2540 0.4679
Ag: 0.2540 0.0925 0.9679
Ag: 0.7460 0.9075 0.0321
Ag: 0.9075 0.7460 0.5321
Au: 0.0386 0.5577 0.1924
Au: 0.4423 0.9614 0.3076
Au: 0.5577 0.0386 0.6924
Au: 0.9614 0.4423 0.8076
I: 0.0151 0.2087 0.0737
I: 0.0459 0.5157 0.6340
I: 0.2087 0.0151 0.5737
I: 0.2689 0.3981 0.8946
I: 0.3800 0.6200 0.2500
I: 0.3981 0.2689 0.3946
I: 0.4843 0.9541 0.8660
I: 0.5157 0.0459 0.1340
I: 0.6019 0.7311 0.6054
I: 0.6200 0.3800 0.7500
I: 0.7311 0.6019 0.1054
I: 0.7913 0.9849 0.4263
I: 0.9541 0.4843 0.3660
I: 0.9849 0.7913 0.9263

ΔE to the lowest computed polymorph: 0.035 eV per atom
Magnetization: 0.0000 μB per atom

=====

No. 7
This record from Alexandria via LeMat-Bulk describes crystalline NdPuSiAu at its relaxed geometry. The functional is PBE.

a b c (Å): 5.1544 5.1544 5.1544
angles (deg): 60.00 60.00 60.00
Fractional coordinates of all 4 atoms:
Nd: 0.0000 0.0000 0.0000
Pu: 0.5000 0.5000 0.5000
Si: 0.7500 0.7500 0.7500
Au: 0.2500 0.2500 0.2500

Total DFT energy (no corrections): -7.402 eV per atom
Magnetization: 1.5384 μB per atom

=====

No. 8
This record from Alexandria via LeMat-Bulk describes crystalline AgSnCl2 at its relaxed geometry. The functional is PBE.

a b c (Å): 9.6300 9.6300 9.6300
angles (deg): 21.27 21.27 21.27
Fractional coordinates of all 4 atoms:
Ag: 0.0000 0.0000 0.0000
Sn: 0.5000 0.5000 0.5000
Cl: 0.0837 0.0837 0.0837
Cl: 0.9163 0.9163 0.9163

ΔE to the lowest computed polymorph: 0.070 eV per atom
Magnetization: 0.0000 μB per atom

=====

No. 9
This record from Alexandria via LeMat-Bulk describes crystalline YTaPb2 at its relaxed geometry. The functional is PBE.

a b c (Å): 3.1474 3.1474 11.4652
angles (deg): 90.00 90.00 90.23
Fractional coordinates of all 4 atoms:
Y: 0.0000 0.0000 0.0000
Ta: 0.5000 0.5000 0.7997
Pb: 0.0000 0.0000 0.5866
Pb: 0.5000 0.5000 0.2456

DFT formation energy: 242 meV/atom
Magnetization: 0.0000 μB per atom

=====

No. 10
This record from Alexandria via LeMat-Bulk describes crystalline CsYPdBr6 at its relaxed geometry. The functional is PBE.

a b c (Å): 7.1296 7.1296 8.2834
angles (deg): 90.00 90.00 120.00
Fractional coordinates of all 9 atoms:
Cs: 0.0000 0.0000 0.0000
Y: 0.6667 0.3333 0.5000
Pd: 0.3333 0.6667 0.5000
Br: 0.0126 0.3768 0.6918
Br: 0.0126 0.6359 0.3082
Br: 0.3641 0.3768 0.3082
Br: 0.3641 0.9874 0.6918
Br: 0.6232 0.6359 0.6918
Br: 0.6232 0.9874 0.3082

Total DFT energy (no corrections): -3.800 eV per atom
Magnetization: 0.2223 μB per atom

=====

No. 11
This record from Alexandria via LeMat-Bulk describes crystalline SiAgPt2 at its relaxed geometry. The functional is PBE.

a b c (Å): 5.6608 5.6608 5.6608
angles (deg): 103.24 103.24 122.83
Fractional coordinates of all 8 atoms:
Si: 0.0000 0.0000 0.0000
Si: 0.7500 0.2500 0.5000
Ag: 0.2500 0.7500 0.5000
Ag: 0.5000 0.5000 0.0000
Pt: 0.0698 0.6250 0.9448
Pt: 0.3750 0.3198 0.4448
Pt: 0.6802 0.1250 0.0552
Pt: 0.8750 0.9302 0.5552

Total DFT energy (no corrections): -5.369 eV per atom
Magnetization: 0.0000 μB per atom

=====

No. 12
This record from Alexandria via LeMat-Bulk describes crystalline AlPd6Pt2 at its relaxed geometry. The functional is PBE.

a b c (Å): 7.7959 7.7959 2.8718
angles (deg): 95.00 95.00 125.97
Fractional coordinates of all 9 atoms:
Al: 0.0000 0.0000 0.0000
Pd: 0.1675 0.5035 0.1762
Pd: 0.3161 0.3161 0.6645
Pd: 0.4965 0.8325 0.8238
Pd: 0.5035 0.1675 0.1762
Pd: 0.6839 0.6839 0.3355
Pd: 0.8325 0.4965 0.8238
Pt: 0.1523 0.8477 0.5000
Pt: 0.8477 0.1523 0.5000

DFT formation energy: -266 meV/atom
ΔE to the lowest computed polymorph: 0.018 eV per atom
Magnetization: 0.0000 μB per atom